No. 1
## AcCeSb2Pd2 (PBE-GGA)

Data for a relaxed structure of AcCeSb2Pd2.

```
6
Lattice="4.658 0.000 0.000 -2.329 4.034 0.000 0.000 0.000 8.307" Properties=species:S:1:pos:R:3 pbc="T T T"
Ac 0.000 0.000 0.000
Ce 0.000 0.000 4.154
Sb 0.000 2.689 2.198
Sb 2.329 1.345 6.109
Pd 0.000 2.689 6.069
Pd 2.329 1.345 2.238
```

Output
Energy relative to the elements, uncorrected ... -1.043 eV per atom
Total magnetization ... 1.1 μB/cell

No. 2
## PuPa2V (PBE-GGA)

Data for a relaxed structure of PuPa2V.

```
16
Lattice="6.982 0.000 0.000 0.000 6.982 0.000 0.000 0.000 6.982" Properties=species:S:1:pos:R:3 pbc="T T T"
Pu 0.000 0.000 0.000
Pu 0.000 3.491 3.491
Pu 3.491 0.000 3.491
Pu 3.491 3.491 0.000
Pa 1.745 1.745 1.745
Pa 1.745 1.745 5.236
Pa 1.745 5.236 1.745
Pa 1.745 5.236 5.236
Pa 5.236 1.745 1.745
Pa 5.236 1.745 5.236
Pa 5.236 5.236 1.745
Pa 5.236 5.236 5.236
V 0.000 0.000 3.491
V 0.000 3.491 0.000
V 3.491 0.000 0.000
V 3.491 3.491 3.491
```

Output
Energy above the most stable polymorph in this dataset ... 0 meV/atom
Total magnetization ... 15.1 μB/cell
Formation enthalpy at 0 K ... 0.159 eV/atom

No. 3
## RbAgSe2 (PBE-GGA)

Data for a relaxed structure of RbAgSe2.

```
16
Lattice="6.992 0.000 0.000 0.000 6.992 0.000 -3.388 0.000 11.540" Properties=species:S:1:pos:R:3 pbc="T T T"
Rb 0.000 0.874 0.000
Rb -1.694 6.118 5.770
Rb 1.802 2.622 5.770
Rb 3.496 4.370 0.000
Ag -1.674 2.621 8.138
Ag 0.020 4.371 2.368
Ag 3.516 0.875 2.368
Ag 1.822 6.117 8.138
Se 0.071 0.874 8.720
Se 1.765 6.119 2.950
Se 0.105 0.875 11.182
Se 1.799 6.117 5.412
Se 5.261 2.623 2.950
Se 3.567 4.370 8.720
Se 5.295 2.621 5.412
Se 3.601 4.371 11.182
```

Output
Energy relative to the elements, uncorrected ... -0.402 eV per atom
Total magnetization ... 0.0 μB/cell

No. 4
## KYSi4 (PBE-GGA)

Data for a relaxed structure of KYSi4.

```
6
Lattice="0.000 3.893 3.893 3.893 0.000 3.893 3.893 3.893 0.000" Properties=species:S:1:pos:R:3 pbc="T T T"
K 0.000 0.000 0.000
Y 1.947 1.947 1.947
Si 4.786 3.001 3.001
Si 3.001 4.786 3.001
Si 3.001 3.001 4.786
Si 4.786 4.786 4.786
```

Output
Energy relative to the elements, uncorrected ... 0.004 eV per atom
Total magnetization ... 0.0 μB/cell

No. 5
## Tb5Dy3Tm (PBE-GGA)

Data for a relaxed structure of Tb5Dy3Tm.

```
18
Lattice="7.528 -5.709 0.000 7.528 5.709 0.000 -6.309 0.000 7.522" Properties=species:S:1:pos:R:3 pbc="T T T"
Tb 3.646 2.879 1.912
Tb 1.899 0.000 1.762
Tb 7.528 2.927 0.000
Tb -1.881 0.000 7.221
Tb 5.101 2.879 5.610
Tb 3.646 -2.879 1.912
Tb 10.628 0.000 0.301
Tb 7.528 -2.927 0.000
Tb 6.849 0.000 5.760
Tb 5.101 -2.879 5.610
Dy -3.155 0.000 3.761
Dy -5.024 0.000 6.159
Dy 3.202 0.000 4.827
Dy 7.528 0.000 0.000
Dy 5.545 0.000 2.695
Dy 13.771 0.000 1.363
Tm -0.036 0.000 4.505
Tm 8.783 0.000 3.017
```

Output
Energy above the most stable polymorph in this dataset ... 304 meV/atom
Total magnetization ... 0.0 μB/cell
Formation enthalpy at 0 K ... 0.522 eV/atom

No. 6
## CaSc3O (PBE-GGA)

Data for a relaxed structure of CaSc3O.

```
5
Lattice="5.119 0.000 0.000 0.000 5.119 0.000 0.000 0.000 5.119" Properties=species:S:1:pos:R:3 pbc="T T T"
Ca 0.000 0.000 0.000
Sc 0.000 0.000 2.560
Sc 0.000 2.560 0.000
Sc 2.560 0.000 0.000
O 2.560 2.560 2.560
```

Output
Energy above the most stable polymorph in this dataset ... 2460 meV/atom
Energy relative to the elements, uncorrected ... 1.566 eV per atom
Total magnetization ... 0.0 μB/cell

No. 7
## TmMnHgAu (PBE-GGA)

Data for a relaxed structure of TmMnHgAu.

```
16
Lattice="6.905 0.000 0.000 0.000 6.905 0.000 0.000 0.000 6.905" Properties=species:S:1:pos:R:3 pbc="T T T"
Tm 0.000 0.000 0.000
Tm 0.000 3.453 3.453
Tm 3.453 0.000 3.453
Tm 3.453 3.453 0.000
Mn 0.000 0.000 3.453
Mn 0.000 3.453 0.000
Mn 3.453 0.000 0.000
Mn 3.453 3.453 3.453
Hg 1.726 1.726 5.179
Hg 1.726 5.179 1.726
Hg 5.179 1.726 1.726
Hg 5.179 5.179 5.179
Au 1.726 1.726 1.726
Au 1.726 5.179 5.179
Au 5.179 1.726 5.179
Au 5.179 5.179 1.726
```

Output
Total magnetization ... 17.6 μB/cell
Formation enthalpy at 0 K ... -0.286 eV/atom

No. 8
## IrRu2Pb (PBE-GGA)

Data for a relaxed structure of IrRu2Pb.

```
16
Lattice="6.433 0.000 0.000 0.000 6.433 0.000 0.000 0.000 6.433" Properties=species:S:1:pos:R:3 pbc="T T T"
Ir 0.000 0.000 0.000
Ir 0.000 3.217 3.217
Ir 3.217 0.000 3.217
Ir 3.217 3.217 0.000
Ru 0.000 0.000 3.217
Ru 0.000 3.217 0.000
Ru 1.608 1.608 1.608
Ru 1.608 4.825 4.825
Ru 3.217 0.000 0.000
Ru 3.217 3.217 3.217
Ru 4.825 1.608 4.825
Ru 4.825 4.825 1.608
Pb 1.608 1.608 4.825
Pb 1.608 4.825 1.608
Pb 4.825 1.608 1.608
Pb 4.825 4.825 4.825
```

Output
Total magnetization ... 11.0 μB/cell
Formation enthalpy at 0 K ... 0.650 eV/atom

No. 9
## BaHfSeO2 (PBE-GGA)

Data for a relaxed structure of BaHfSeO2.

```
5
Lattice="4.054 0.000 0.000 0.000 4.054 0.000 0.000 0.000 6.478" Properties=species:S:1:pos:R:3 pbc="T T T"
Ba 0.000 0.000 0.000
Hf 2.027 2.027 2.393
Se 2.027 2.027 4.938
O 0.000 2.027 1.847
O 2.027 0.000 1.847
```

Output
Energy relative to the elements, uncorrected ... -2.722 eV per atom
Total magnetization ... 0.0 μB/cell

No. 10
## Mg2Sb (PBE-GGA)

Data for a relaxed structure of Mg2Sb.

```
6
Lattice="4.498 0.000 0.000 0.000 4.498 0.000 0.000 0.000 7.315" Properties=species:S:1:pos:R:3 pbc="T T T"
Mg 1.125 1.125 1.240
Mg 1.125 3.374 3.658
Mg 3.374 1.125 3.658
Mg 3.374 3.374 6.075
Sb 1.125 1.125 5.611
Sb 3.374 3.374 1.704
```

Output
Energy relative to the elements, uncorrected ... -0.233 eV per atom
Total magnetization ... 0.0 μB/cell

No. 11
## UAl2InO8 (PBE-GGA)

Data for a relaxed structure of UAl2InO8.

```
12
Lattice="3.338 -3.342 0.000 3.338 3.342 0.000 0.000 0.000 6.276" Properties=species:S:1:pos:R:3 pbc="T T T"
U 0.000 0.000 0.000
Al 3.338 0.000 1.635
Al 3.338 0.000 4.641
In 0.000 0.000 3.138
O 1.451 0.000 1.495
O 1.451 0.000 4.781
O 3.338 1.250 0.000
O 3.338 1.205 3.138
O 3.338 -1.205 3.138
O 3.338 -1.250 0.000
O 5.225 0.000 1.495
O 5.225 0.000 4.781
```

Output
Energy relative to the elements, uncorrected ... -2.429 eV per atom
Total magnetization ... 0.8 μB/cell

No. 12
## AlSi2Au (PBE-GGA)

Data for a relaxed structure of AlSi2Au.

```
4
Lattice="3.654 0.000 0.000 0.000 3.654 0.000 0.000 0.000 5.282" Properties=species:S:1:pos:R:3 pbc="T T T"
Al 0.000 0.000 0.000
Si 0.000 0.000 2.652
Si 1.827 1.827 2.747
Au 1.827 1.827 0.095
```

Output
Energy relative to the elements, uncorrected ... 0.121 eV per atom
Total magnetization ... 0.0 μB/cell

No. 13
## ScNiAs3 (PBE-GGA)

Data for a relaxed structure of ScNiAs3.

```
5
Lattice="4.635 0.000 0.000 0.000 4.635 0.000 0.000 0.000 4.635" Properties=species:S:1:pos:R:3 pbc="T T T"
Sc 0.000 0.000 0.000
Ni 2.318 2.318 2.318
As 0.000 2.318 2.318
As 2.318 0.000 2.318
As 2.318 2.318 0.000
```

Output
Energy above the most stable polymorph in this dataset ... 0 meV/atom
Total magnetization ... 0.0 μB/cell
Formation enthalpy at 0 K ... -0.006 eV/atom

No. 14
## AuS2N2 (PBE-GGA)

Data for a relaxed structure of AuS2N2.

```
5
Lattice="3.834 0.000 0.000 0.000 3.834 0.000 0.000 0.000 7.725" Properties=species:S:1:pos:R:3 pbc="T T T"
Au 0.000 0.000 0.000
S 0.000 0.000 3.863
S 1.917 1.917 3.863
N 0.000 1.917 0.000
N 1.917 0.000 0.000
```

Output
Energy above the most stable polymorph in this dataset ... 1338 meV/atom
Energy relative to the elements, uncorrected ... 1.936 eV per atom
Total magnetization ... 3.3 μB/cell

No. 15
## KBa2CaZn (PBE-GGA)

Data for a relaxed structure of KBa2CaZn.

```
5
Lattice="6.604 0.000 0.000 0.000 6.604 0.000 0.000 0.000 6.137" Properties=species:S:1:pos:R:3 pbc="T T T"
K 0.000 0.000 0.000
Ba 0.000 3.302 3.069
Ba 3.302 0.000 3.069
Ca 3.302 3.302 0.000
Zn 3.302 3.302 3.069
```

Output
Total magnetization ... 0.0 μB/cell
Formation enthalpy at 0 K ... 0.017 eV/atom

No. 16
## Tb3Al9Pd2 (PBE-GGA)

Data for a relaxed structure of Tb3Al9Pd2.

```
14
Lattice="-2.159 4.914 6.238 2.159 -4.914 6.238 2.159 4.914 -6.238" Properties=species:S:1:pos:R:3 pbc="T T T"
Tb 0.000 0.000 0.000
Tb 0.000 0.000 3.772
Tb 0.000 0.000 8.705
Al 2.159 -1.313 1.943
Al 2.159 -2.142 4.599
Al 2.159 1.313 1.943
Al 0.000 2.772 1.639
Al 0.000 4.914 0.000
Al 2.159 2.142 4.599
Al 0.000 3.600 4.295
Al 0.000 7.056 1.639
Al 0.000 6.227 4.295
Pd 2.159 2.987 0.000
Pd 0.000 1.926 6.238
```

Output
Total magnetization ... 0.0 μB/cell
Formation enthalpy at 0 K ... -0.626 eV/atom

No. 17
## Na3YI6 (PBE-GGA)

Data for a relaxed structure of Na3YI6.

```
20
Lattice="7.816 0.000 0.000 0.000 8.386 0.000 -7.813 0.000 11.823" Properties=species:S:1:pos:R:3 pbc="T T T"
Na 0.000 0.000 0.000
Na -3.906 4.193 5.911
Na -3.581 0.836 8.792
Na 0.326 3.356 2.880
Na -0.322 5.029 8.942
Na 3.584 7.549 3.031
Y 0.002 0.000 5.911
Y 3.908 4.193 0.000
I -1.163 0.459 3.112
I -5.069 3.734 9.023
I 1.431 5.697 0.859
I -2.475 6.882 6.771
I 2.602 1.595 0.913
I -1.304 2.598 6.825
I 1.307 5.788 4.998
I -2.599 6.791 10.909
I 2.479 1.504 5.052
I -1.428 2.689 10.963
I 5.072 4.652 2.799
I 1.166 7.927 8.711
```

Output
Energy above the most stable polymorph in this dataset ... 5 meV/atom
Energy relative to the elements, uncorrected ... -1.292 eV per atom
Total magnetization ... 0.0 μB/cell

No. 18
## Hf2GaSiTc (PBE-GGA)

Data for a relaxed structure of Hf2GaSiTc.

```
5
Lattice="4.873 0.000 0.000 0.000 4.873 0.000 0.000 0.000 4.497" Properties=species:S:1:pos:R:3 pbc="T T T"
Hf 0.000 2.436 0.000
Hf 2.436 0.000 0.000
Ga 0.000 0.000 0.000
Si 2.436 2.436 2.249
Tc 0.000 0.000 2.249
```

Output
Energy relative to the elements, uncorrected ... 0.838 eV per atom
Total magnetization ... 0.4 μB/cell

No. 19
## SrLaCdPd2 (PBE-GGA)

Data for a relaxed structure of SrLaCdPd2.

```
5
Lattice="5.298 0.000 0.000 0.000 5.298 0.000 0.000 0.000 5.953" Properties=species:S:1:pos:R:3 pbc="T T T"
Sr 0.000 0.000 0.000
La 2.649 2.649 2.977
Cd 2.649 2.649 0.000
Pd 0.000 2.649 2.977
Pd 2.649 0.000 2.977
```

Output
Total magnetization ... 0.0 μB/cell
Formation enthalpy at 0 K ... 0.015 eV/atom

No. 20
## AgSb2Se (PBE-GGA)

Data for a relaxed structure of AgSb2Se.

```
8
Lattice="3.625 0.000 0.000 0.000 5.615 0.000 0.000 0.000 9.467" Properties=species:S:1:pos:R:3 pbc="T T T"
Ag 0.000 0.000 0.000
Ag 1.812 2.808 4.733
Sb 0.000 2.808 2.309
Sb 0.000 2.808 7.158
Sb 1.812 0.000 2.424
Sb 1.812 0.000 7.042
Se 0.000 0.000 4.733
Se 1.812 2.808 0.000
```

Output
Energy relative to the elements, uncorrected ... 0.204 eV per atom
Total magnetization ... 0.0 μB/cell

No. 21
## Pm3NiIr8 (PBE-GGA)

Data for a relaxed structure of Pm3NiIr8.

```
12
Lattice="2.685 1.550 8.774 -2.685 1.550 8.774 0.000 -3.101 8.774" Properties=species:S:1:pos:R:3 pbc="T T T"
Pm 0.000 0.000 0.000
Pm 0.000 0.000 3.418
Pm 0.000 0.000 13.589
Ni 0.000 0.000 17.219
Ir 0.000 -1.555 6.189
Ir -1.337 -0.772 10.522
Ir -1.347 0.778 6.189
Ir 0.000 0.000 8.318
Ir 1.337 -0.772 10.522
Ir 0.000 1.544 10.522
Ir 1.347 0.778 6.189
Ir 0.000 0.000 21.518
```

Output
Total magnetization ... 0.7 μB/cell
Formation enthalpy at 0 K ... -0.434 eV/atom

No. 22
## Sm4MgPd (PBE-GGA)

Data for a relaxed structure of Sm4MgPd.

```
12
Lattice="4.540 -6.561 0.000 4.540 6.561 0.000 -1.828 0.000 5.967" Properties=species:S:1:pos:R:3 pbc="T T T"
Sm 1.816 4.266 5.672
Sm 1.473 1.227 3.639
Sm 4.522 4.266 3.278
Sm 2.387 -1.227 0.656
Sm 4.864 1.227 5.311
Sm 2.730 -4.266 2.688
Sm 5.778 -1.227 2.328
Sm 5.436 -4.266 0.295
Mg 4.083 1.513 1.492
Mg 3.169 -1.513 4.475
Pd 4.083 6.542 1.492
Pd 3.169 -6.542 4.475
```

Output
Energy above the most stable polymorph in this dataset ... 110 meV/atom
Total magnetization ... 0.0 μB/cell
Formation enthalpy at 0 K ... -0.219 eV/atom

No. 23
## CaFe2S (PBE-GGA)

Data for a relaxed structure of CaFe2S.

```
16
Lattice="4.545 0.000 0.000 0.000 4.545 0.000 0.000 0.000 14.970" Properties=species:S:1:pos:R:3 pbc="T T T"
Ca 0.000 1.136 5.614
Ca 0.000 3.409 9.356
Ca 2.273 1.136 1.871
Ca 2.273 3.409 13.099
Fe 0.000 0.000 0.000
Fe 0.000 2.273 0.000
Fe 1.136 1.136 11.228
Fe 1.136 3.409 3.743
Fe 2.273 0.000 7.485
Fe 2.273 2.273 7.485
Fe 3.409 1.136 11.228
Fe 3.409 3.409 3.743
S 0.000 1.136 13.099
S 0.000 3.409 1.871
S 2.273 1.136 9.356
S 2.273 3.409 5.614
```

Output
Energy relative to the elements, uncorrected ... -0.090 eV per atom
Total magnetization ... 13.5 μB/cell

No. 24
## LiPu2O8 (PBE-GGA)

Data for a relaxed structure of LiPu2O8.

```
11
Lattice="5.788 -3.512 0.000 5.788 3.512 0.000 -0.753 0.000 4.101" Properties=species:S:1:pos:R:3 pbc="T T T"
Li 0.000 0.000 0.000
Pu 3.197 0.000 0.292
Pu 7.625 0.000 3.809
O 3.336 2.270 4.078
O 2.710 0.000 2.332
O 7.487 2.270 0.023
O 4.896 0.000 0.880
O 5.927 0.000 3.221
O 3.336 -2.270 4.078
O 8.113 0.000 1.769
O 7.487 -2.270 0.023
```

Output
Energy relative to the elements, uncorrected ... -1.858 eV per atom
Total magnetization ... 1.0 μB/cell

No. 25
## GaSeBr2N (PBE-GGA)

Data for a relaxed structure of GaSeBr2N.

```
5
Lattice="5.300 0.000 0.000 0.000 5.300 0.000 0.000 0.000 5.042" Properties=species:S:1:pos:R:3 pbc="T T T"
Ga 0.000 0.000 0.000
Se 0.000 0.000 2.521
Br 0.000 2.650 0.000
Br 2.650 0.000 0.000
N 2.650 2.650 2.521
```

Output
Energy above the most stable polymorph in this dataset ... 267 meV/atom
Energy relative to the elements, uncorrected ... 0.957 eV per atom
Total magnetization ... 4.2 μB/cell